Entry 1:
This record from Alexandria via LeMat-Bulk describes crystalline FeReCl2 at its relaxed geometry. The functional is GGA-PBE.

Summary:
* formation energy without anion corrections: 1.315 eV/atom
* space group: Fm-3m (225)
* distance to the lowest polymorph of the same formula: 30.586 kcal/mol of atoms
* volume: 13.58 Å³/atom

a = 4.2509 Å, b = 4.2509 Å, c = 4.2509 Å
α = 60.00°, β = 60.00°, γ = 60.00°
With the nearest neighbours (Å) after each atom.
Element x y z (fractional)
Cl 0.2500 0.2500 0.2500  4 Re 2.60, 4 Fe 2.60
Cl 0.7500 0.7500 0.7500  4 Fe 2.60, 4 Re 2.60
Fe 0.0000 0.0000 0.0000  8 Cl 2.60
Re 0.5000 0.5000 0.5000  8 Cl 2.60

Entry 2:
This record from Alexandria via LeMat-Bulk describes crystalline FeReCl2 at its relaxed geometry. The functional is GGA-PBE.

Summary:
* formation energy without anion corrections: 1.159 eV/atom
* space group: I-4m2 (119)
* distance to the lowest polymorph of the same formula: 26.994 kcal/mol of atoms
* volume: 16.91 Å³/atom

a = 6.0091 Å, b = 6.0091 Å, c = 6.0091 Å
α = 145.98°, β = 145.98°, γ = 48.88°
With the nearest neighbours (Å) after each atom.
Element x y z (fractional)
Re 0.7500 0.2500 0.5000  4 Cl 2.49
Cl 0.0000 0.0000 0.0000  4 Fe 2.49
Cl 0.2500 0.7500 0.5000  4 Re 2.49
Fe 0.5000 0.5000 0.0000  4 Cl 2.49